The following is a PBE-GGA calculation of crystalline LiCaNbCr2 at its relaxed geometry, from Alexandria via LeMat-Bulk.

a b c (Å): 4.7706 4.7706 5.7118
angles (deg): 90.00 90.00 90.00
Last column: nearest neighbours and their distance in Å.
Space group P4/mmm (No. 123)
Symmetry-distinct sites (fractional):
Li 0.0000 0.0000 0.0000  4 Ca 3.37, 8 Cr 3.72
Ca 0.5000 0.5000 0.0000  2 Nb 2.86
Nb 0.5000 0.5000 0.5000  4 Cr 2.39
Cr 0.0000 0.5000 0.5000  2 Nb 2.39

The energy relative to the elements comes out at 1.155 eV per atom. The total energy is -5.491 eV per atom.